Run P
The following is a PBE calculation of crystalline Sm4GaPt at its relaxed geometry, from the Alexandria database.

Cell lengths 13.826, 13.826, 13.826 Å; angles 90.00, 90.00, 90.00 degrees
Space group F-43m (No. 216)
Unique sites:
Sm 0.000 0.000 0.187
Sm 0.056 0.250 0.750
Sm 0.106 0.106 0.394
Ga 0.169 0.169 0.169
Pt 0.106 0.106 0.606

Properties
Crystal system   cubic

Run Q
The following is a PBE calculation of crystalline Sm4GaPt at its relaxed geometry, from the Alexandria database.

Cell lengths 5.344, 21.174, 6.345 Å; angles 90.00, 90.00, 90.00 degrees
Space group Cmc2_1 (No. 36)
Unique sites:
Sm 0.000 0.055 0.000
Sm 0.000 0.191 0.273
Sm 0.000 0.211 0.788
Sm 0.000 0.389 0.047
Ga 0.000 0.340 0.528
Pt 0.000 0.077 0.508

Properties
Crystal system   orthorhombic

Q: Which of them is the least stable? A: run Q.

Run P
The following is a PBE calculation of crystalline Sm2Ga5Pt3 at its relaxed geometry, from the Alexandria database.

Cell lengths 4.389, 25.066, 6.843 Å; angles 90.00, 90.00, 90.00 degrees
Space group Cmc2_1 (No. 36)
Unique sites:
Sm 0.000 0.017 0.000
Sm 0.000 0.325 0.977
Ga 0.000 0.104 0.658
Ga 0.000 0.206 0.171
Ga 0.000 0.208 0.766
Ga 0.000 0.377 0.506
Ga 0.000 0.448 0.822
Pt 0.000 0.107 0.265
Pt 0.000 0.275 0.466
Pt 0.000 0.448 0.215

Properties
Crystal system   orthorhombic

Run Q
The following is a PBE calculation of crystalline Sm2Ga5Pt3 at its relaxed geometry, from the Alexandria database.

Cell lengths 10.357, 12.625, 5.824 Å; angles 90.00, 90.00, 90.00 degrees
Space group Ibam (No. 72)
Unique sites:
Sm 0.226 0.137 0.000
Ga 0.000 0.000 0.250
Ga 0.000 0.286 0.250
Ga 0.163 0.400 0.000
Pt 0.000 0.500 0.250
Pt 0.104 0.143 0.500

Properties
Crystal system   orthorhombic

Q: Which of them is the least stable? A: run P.

Run P
The following is a PBE calculation of crystalline SmGa3Pt at its relaxed geometry, from the Alexandria database.

Cell lengths 8.343, 4.286, 10.935 Å; angles 90.00, 90.00, 90.00 degrees
Space group Pnma (No. 62)
Unique sites:
Sm 0.197 0.250 0.020
Ga 0.068 0.250 0.589
Ga 0.112 0.750 0.820
Ga 0.142 0.750 0.215
Pt 0.089 0.250 0.351

Properties
Crystal system   orthorhombic

Run Q
The following is a PBE calculation of crystalline SmGa3Pt at its relaxed geometry, from the Alexandria database.

Cell lengths 4.179, 4.179, 10.883 Å; angles 90.00, 90.00, 90.00 degrees
Space group I-4m2 (No. 119)
Unique sites:
Sm 0.000 0.000 0.000
Ga 0.000 0.000 0.387
Ga 0.000 0.500 0.750
Pt 0.000 0.500 0.250

Properties
Crystal system   tetragonal

Q: Which of them is the least stable? A: run Q.

Run P
The following is a PBE calculation of crystalline SmYGaPt at its relaxed geometry, from the Alexandria database.

Cell lengths 4.440, 3.858, 11.072 Å; angles 90.00, 90.00, 90.00 degrees
Space group Amm2 (No. 38)
Unique sites:
Sm 0.000 0.000 0.000
Y 0.500 0.000 0.284
Ga 0.500 0.000 0.570
Pt 0.000 0.000 0.722

Properties
Crystal system   orthorhombic

Run Q
The following is a PBE calculation of crystalline SmYGaPt at its relaxed geometry, from the Alexandria database.

Cell lengths 7.167, 7.167, 7.167 Å; angles 90.00, 90.00, 90.00 degrees
Space group F-43m (No. 216)
Unique sites:
Sm 0.000 0.000 0.000
Y 0.000 0.000 0.500
Ga 0.250 0.250 0.750
Pt 0.250 0.250 0.250

Properties
Crystal system   cubic

Q: Which of them is the least stable? A: run Q.

Run P
The following is a PBE calculation of crystalline GaSn3Pt at its relaxed geometry, from the Alexandria database.

Cell lengths 5.266, 5.266, 5.266 Å; angles 90.00, 90.00, 90.00 degrees
Space group Pm-3m (No. 221)
Unique sites:
Ga 0.000 0.000 0.000
Sn 0.000 0.500 0.500
Pt 0.500 0.500 0.500

Properties
Crystal system   cubic

Run Q
The following is a PBE calculation of crystalline GaSn3Pt at its relaxed geometry, from the Alexandria database.

Cell lengths 5.165, 5.165, 5.165 Å; angles 90.00, 90.00, 90.00 degrees
Space group Pm-3m (No. 221)
Unique sites:
Ga 0.000 0.000 0.000
Sn 0.000 0.000 0.500
Pt 0.500 0.500 0.500

Properties
Crystal system   cubic

Q: Which of them is the least stable? A: run Q.

Run P
The following is a PBE calculation of crystalline GaSnPt6 at its relaxed geometry, from the Alexandria database.

Cell lengths 7.753, 5.492, 7.287 Å; angles 90.00, 111.64, 90.00 degrees
Space group C2/m (No. 12)
Unique sites:
Ga 0.000 0.000 0.000
Sn 0.000 0.500 0.500
Pt 0.159 0.500 0.949
Pt 0.193 0.260 0.296

Properties
Crystal system   monoclinic

Run Q
The following is a PBE calculation of crystalline GaSnPt6 at its relaxed geometry, from the Alexandria database.

Cell lengths 4.005, 4.005, 8.001 Å; angles 90.00, 90.00, 90.00 degrees
Space group P4/mmm (No. 123)
Unique sites:
Ga 0.000 0.000 0.000
Sn 0.000 0.000 0.500
Pt 0.000 0.500 0.241
Pt 0.500 0.500 0.000
Pt 0.500 0.500 0.500

Properties
Crystal system   tetragonal

Q: Which of them is the least stable? A: run P.